No. 1
Crystalline Ba2CoIr at its relaxed geometry. Source: the Open Quantum Materials Database, functional GGA-PBE.

Calculated values
- VASP energy (eV for the cell shown) = -68.181
- crystal system = cubic
- symmetry = F-43m

The structure in POSCAR format:
```
Ba2CoIr
1.0
7.407 0.000 0.000
0.000 7.407 0.000
0.000 0.000 7.407
Ba Co Ir
8 4 4
Direct
0.000 0.000 0.000
0.000 0.500 0.500
0.250 0.250 0.250
0.250 0.750 0.750
0.500 0.000 0.500
0.500 0.500 0.000
0.750 0.250 0.750
0.750 0.750 0.250
0.000 0.000 0.500
0.000 0.500 0.000
0.500 0.000 0.000
0.500 0.500 0.500
0.250 0.250 0.750
0.250 0.750 0.250
0.750 0.250 0.250
0.750 0.750 0.750
```

=====

No. 2
Crystalline Hf4InSnC2 at its relaxed geometry. Source: the Open Quantum Materials Database, functional GGA-PBE.

Calculated values
- VASP energy (eV for the cell shown) = -70.965
- crystal system = hexagonal
- symmetry = P-6m2

The structure in POSCAR format:
```
Hf4InSnC2
1.0
3.333 0.000 0.000
-1.667 2.887 0.000
0.000 0.000 14.662
Hf In Sn C
4 1 1 2
Direct
0.000 0.000 0.165
0.000 0.000 0.835
0.333 0.667 0.331
0.333 0.667 0.669
0.000 0.000 0.500
0.333 0.667 0.000
0.667 0.333 0.248
0.667 0.333 0.752
```

=====

No. 3
Crystalline Cs2Zn3O4 at its relaxed geometry. Source: the Open Quantum Materials Database, functional GGA-PBE.

Calculated values
- VASP energy (eV for the cell shown) = -74.717
- crystal system = orthorhombic
- symmetry = Ibam

The structure in POSCAR format:
```
Cs2Zn3O4
1.0
-2.627 4.859 6.090
2.627 -4.859 6.090
2.627 4.859 -6.090
Cs Zn O
4 6 8
Direct
0.122 0.249 0.370
0.378 0.749 0.127
0.622 0.251 0.873
0.878 0.751 0.630
0.042 0.250 0.792
0.250 0.750 0.500
0.458 0.250 0.208
0.542 0.750 0.792
0.750 0.250 0.500
0.958 0.750 0.208
0.027 0.455 0.152
0.196 0.045 0.572
0.304 0.875 0.848
0.473 0.625 0.428
0.527 0.375 0.572
0.696 0.125 0.152
0.804 0.955 0.428
0.973 0.545 0.848
```

=====

No. 4
Crystalline GdHoSc at its relaxed geometry. Source: the Open Quantum Materials Database, functional GGA-PBE.

Calculated values
- formation energy (eV/atom) = 0.686
- polymorph energy (0 for the lowest one) (eV/atom) = 0.000
- crystal system = cubic
- symmetry = F-43m

The structure in POSCAR format:
```
GdHoSc
1.0
7.410 0.000 0.000
0.000 7.410 0.000
0.000 0.000 7.410
Gd Ho Sc
4 4 4
Direct
0.000 0.000 0.000
0.000 0.500 0.500
0.500 0.000 0.500
0.500 0.500 0.000
0.000 0.000 0.500
0.000 0.500 0.000
0.500 0.000 0.000
0.500 0.500 0.500
0.250 0.250 0.250
0.250 0.750 0.750
0.750 0.250 0.750
0.750 0.750 0.250
```

=====

No. 5
Crystalline PaNbFe at its relaxed geometry. Source: the Open Quantum Materials Database, functional GGA-PBE.

Calculated values
- formation energy (eV/atom) = 0.801
- polymorph energy (0 for the lowest one) (eV/atom) = 0.481
- crystal system = cubic
- symmetry = F-43m

The structure in POSCAR format:
```
PaNbFe
1.0
6.153 0.000 0.000
0.000 6.153 0.000
0.000 0.000 6.153
Pa Nb Fe
4 4 4
Direct
0.000 0.000 0.000
0.000 0.500 0.500
0.500 0.000 0.500
0.500 0.500 0.000
0.250 0.250 0.250
0.250 0.750 0.750
0.750 0.250 0.750
0.750 0.750 0.250
0.250 0.250 0.750
0.250 0.750 0.250
0.750 0.250 0.250
0.750 0.750 0.750
```

=====

No. 6
Crystalline GdYBPb at its relaxed geometry. Source: the Open Quantum Materials Database, functional GGA-PBE.

Calculated values
- VASP energy (eV for the cell shown) = -44.577
- crystal system = hexagonal
- symmetry = P-6m2

The structure in POSCAR format:
```
GdYBPb
1.0
3.722 0.000 0.000
-1.861 3.223 0.000
0.000 0.000 16.800
Gd Y B Pb
2 2 2 2
Direct
0.000 0.000 0.161
0.000 0.000 0.839
0.333 0.667 0.341
0.333 0.667 0.659
0.667 0.333 0.251
0.667 0.333 0.749
0.000 0.000 0.500
0.333 0.667 0.000
```

=====

No. 7
Crystalline DyYZn2Pb2 at its relaxed geometry. Source: the Open Quantum Materials Database, functional GGA-PBE.

Calculated values
- polymorph energy (0 for the lowest one) (eV/atom) = 0.000
- crystal system = hexagonal
- symmetry = P6_3/mmc

The structure in POSCAR format:
```
DyYZn2Pb2
1.0
4.594 0.000 0.000
-2.297 3.978 0.000
0.000 0.000 16.058
Dy Y Zn Pb
2 2 4 4
Direct
0.000 0.000 0.250
0.000 0.000 0.750
0.000 0.000 0.000
0.000 0.000 0.500
0.333 0.667 0.165
0.333 0.667 0.335
0.667 0.333 0.665
0.667 0.333 0.835
0.333 0.667 0.610
0.333 0.667 0.890
0.667 0.333 0.110
0.667 0.333 0.390
```

=====

No. 8
Crystalline TaGaCo2 at its relaxed geometry. Source: the Open Quantum Materials Database, functional GGA-PBE.

Calculated values
- VASP energy (eV for the cell shown) = -118.509
- crystal system = orthorhombic
- symmetry = Pnma

The structure in POSCAR format:
```
TaGaCo2
1.0
6.321 0.000 0.000
0.000 6.593 0.000
0.000 0.000 5.134
Ta Ga Co
4 4 8
Direct
0.033 0.250 0.159
0.467 0.750 0.659
0.533 0.250 0.341
0.967 0.750 0.841
0.102 0.750 0.344
0.398 0.250 0.844
0.602 0.750 0.156
0.898 0.250 0.656
0.198 0.043 0.575
0.198 0.457 0.575
0.302 0.543 0.075
0.302 0.957 0.075
0.698 0.043 0.925
0.698 0.457 0.925
0.802 0.543 0.425
0.802 0.957 0.425
```

=====

No. 9
Crystalline SmSiW at its relaxed geometry. Source: the Open Quantum Materials Database, functional GGA-PBE.

Calculated values
- VASP energy (eV for the cell shown) = -88.046
- crystal system = cubic
- symmetry = F-43m

The structure in POSCAR format:
```
SmSiW
1.0
6.381 0.000 0.000
0.000 6.381 0.000
0.000 0.000 6.381
Sm Si W
4 4 4
Direct
0.000 0.000 0.000
0.000 0.500 0.500
0.500 0.000 0.500
0.500 0.500 0.000
0.250 0.250 0.250
0.250 0.750 0.750
0.750 0.250 0.750
0.750 0.750 0.250
0.000 0.000 0.500
0.000 0.500 0.000
0.500 0.000 0.000
0.500 0.500 0.500
```

=====

No. 10
Crystalline K2AcRe at its relaxed geometry. Source: the Open Quantum Materials Database, functional GGA-PBE.

Calculated values
- VASP energy (eV for the cell shown) = -10.062
- crystal system = tetragonal
- symmetry = P4/mmm

The structure in POSCAR format:
```
K2AcRe
1.0
4.990 0.000 0.000
0.000 4.990 0.000
0.000 0.000 7.025
K Ac Re
2 1 1
Direct
0.000 0.000 0.000
0.500 0.500 0.500
0.000 0.000 0.500
0.500 0.500 0.000
```

=====

No. 11
Crystalline NdZn2O4 at its relaxed geometry. Source: the Open Quantum Materials Database, functional GGA-PBE.

Calculated values
- VASP energy (eV for the cell shown) = -78.612
- crystal system = cubic
- symmetry = Fd-3m

The structure in POSCAR format:
```
NdZn2O4
1.0
0.000 4.500 4.500
4.500 0.000 4.500
4.500 4.500 0.000
Nd Zn O
2 4 8
Direct
0.125 0.125 0.125
0.875 0.875 0.875
0.000 0.500 0.500
0.500 0.000 0.500
0.500 0.500 0.000
0.500 0.500 0.500
0.267 0.267 0.267
0.267 0.267 0.700
0.267 0.700 0.267
0.300 0.733 0.733
0.700 0.267 0.267
0.733 0.300 0.733
0.733 0.733 0.300
0.733 0.733 0.733
```

=====

No. 12
Crystalline CuAgF3 at its relaxed geometry. Source: the Open Quantum Materials Database, functional GGA-PBE.

Calculated values
- VASP energy (eV for the cell shown) = -74.312
- crystal system = triclinic
- symmetry = P-1

The structure in POSCAR format:
```
CuAgF3
1.0
5.509 0.000 0.000
0.178 5.517 0.000
0.019 0.059 7.891
Cu Ag F
4 4 12
Direct
0.000 0.000 0.000
0.000 0.000 0.500
0.500 0.500 0.000
0.500 0.500 0.500
0.027 0.494 0.249
0.473 0.995 0.749
0.527 0.005 0.251
0.973 0.506 0.751
0.002 0.932 0.250
0.213 0.713 0.960
0.214 0.714 0.541
0.285 0.214 0.470
0.287 0.213 0.030
0.483 0.567 0.249
0.517 0.433 0.751
0.713 0.787 0.970
0.715 0.786 0.530
0.786 0.286 0.459
0.787 0.287 0.040
0.998 0.068 0.750
```